DFT (GGA-PBE) results for AlTl2Mo after structural relaxation.

a b c (Å): 10.7380 10.7380 10.7380
angles (deg): 16.62 16.62 16.62
Last column: nearest neighbours and their distance in Å.
Fractional positions:
Tl1 0.0128 0.0128 0.0128  3 Mo 3.08, 6 Tl 3.10
Tl2 0.2397 0.2397 0.2397  6 Tl 3.10, 3 Al 3.21
Mo1 0.7583 0.7583 0.7583  3 Al 2.71
Al1 0.4891 0.4891 0.4891  3 Mo 2.71

Results
Energy above the most stable polymorph in this dataset = 0.047 eV per atom
Space group = R3m, No. 160
ΔH_f (0 K) = 0.43 eV per atom